Below is a geometry-optimized Ir6OsRu2 structure, with properties calculated at the PBE level.

abc: 7.3709 7.3709 5.1087
angles: 96.76 96.76 100.21
Last column: nearest neighbours and their distance in Å.
Fractional coordinates of all 18 atoms:
Ir1 0.0535 0.4205 0.7033  2 Ru 2.57-2.69, 6 Ir 2.61-2.69, 1 Os 2.63
Ir2 0.1483 0.7639 0.9855  6 Ir 2.63-2.74, 3 Ru 2.68-2.72, 1 Os 2.71
Ir3 0.2361 0.8517 0.5145  6 Ir 2.63-2.74, 3 Ru 2.68-2.72, 1 Os 2.71
Ir4 0.2566 0.4629 0.1781  4 Ir 2.62-2.74, 2 Os 2.64-2.76, 2 Ru 2.64-2.78
Ir5 0.4205 0.0535 0.2033  2 Ru 2.57-2.69, 6 Ir 2.61-2.69, 1 Os 2.63
Ir6 0.4629 0.2566 0.6781  4 Ir 2.62-2.74, 2 Os 2.64-2.76, 2 Ru 2.64-2.78
Ir7 0.5371 0.7434 0.3219  4 Ir 2.62-2.74, 2 Os 2.64-2.76, 2 Ru 2.64-2.78
Ir8 0.5795 0.9465 0.7967  2 Ru 2.57-2.69, 6 Ir 2.61-2.69, 1 Os 2.63
Ir9 0.7434 0.5371 0.8219  4 Ir 2.62-2.74, 2 Os 2.64-2.76, 2 Ru 2.64-2.78
Ir10 0.7639 0.1483 0.4855  6 Ir 2.63-2.74, 3 Ru 2.68-2.72, 1 Os 2.71
Ir11 0.8517 0.2361 0.0145  6 Ir 2.63-2.74, 3 Ru 2.68-2.72, 1 Os 2.71
Ir12 0.9465 0.5795 0.2967  2 Ru 2.57-2.69, 6 Ir 2.61-2.69, 1 Os 2.63
Os1 0.4007 0.5993 0.7500  8 Ir 2.63-2.76
Os2 0.5993 0.4007 0.2500  8 Ir 2.63-2.76
Ru1 0.1149 0.1576 0.3665  7 Ir 2.57-2.78, 3 Ru 2.60-2.63
Ru2 0.1576 0.1149 0.8665  7 Ir 2.57-2.78, 3 Ru 2.60-2.63
Ru3 0.8424 0.8851 0.1335  7 Ir 2.57-2.78, 3 Ru 2.60-2.63
Ru4 0.8851 0.8424 0.6335  7 Ir 2.57-2.78, 3 Ru 2.60-2.63

magnetic moment	0.000	μB/f.u.
raw total energy	-8.93	eV per atom
ΔE to the lowest computed polymorph	0	meV/atom